(1)
An optimized crystal structure of LiZr2Te2, computed with PBE-GGA.

Properties
Calculated density   5.30 Mg/m³
Formation energy (no corrections)   -230 meV per atom
Fermi-level density of states   8.6 states/eV/cell
Energy above the most stable polymorph in this dataset   0.3649 eV per atom

Cell and atoms, written as CIF:
```
data_LiZr2Te2
_space_group_name_H-M_alt 'I 4/m m m'
_space_group_IT_number 139
_space_group_name_Hall '-I 4 2'
_cell_length_a 5.624
_cell_length_b 5.624
_cell_length_c 8.804
_cell_angle_alpha 90.00
_cell_angle_beta 90.00
_cell_angle_gamma 90.00
loop_
_atom_site_label
_atom_site_fract_x
_atom_site_fract_y
_atom_site_fract_z
_atom_site_occupancy
Li1 0.000 0.000 0.000 1
Zr1 0.000 0.000 0.345 1
Te1 0.000 0.500 0.250 1
```

=====

(2)
An optimized crystal structure of PmBiAs2Rh5, computed with PBE-GGA.

Properties
Calculated density   9.22 Mg/m³
Energy of formation   -0.4227 eV/atom
Fermi-level density of states   4.2 states/eV/cell

Cell and atoms, written as CIF:
```
data_PmBiAs2Rh5
_space_group_name_H-M_alt 'P 4/m m m'
_space_group_IT_number 123
_space_group_name_Hall '-P 4 2'
_cell_length_a 4.096
_cell_length_b 4.096
_cell_length_c 10.933
_cell_angle_alpha 90.00
_cell_angle_beta 90.00
_cell_angle_gamma 90.00
loop_
_atom_site_label
_atom_site_fract_x
_atom_site_fract_y
_atom_site_fract_z
_atom_site_occupancy
Pm1 0.000 0.000 0.000 1
Bi1 0.000 0.000 0.500 1
As1 0.500 0.500 0.217 1
Rh1 0.000 0.500 0.332 1
Rh2 0.500 0.500 0.000 1
```

=====

(3)
An optimized crystal structure of IrPdNF2, computed with PBE-GGA.

Properties
Calculated density   8.34 Mg/m³
Formation energy (no corrections)   893 meV per atom
Fermi-level density of states   6.2 states/eV/cell
Energy above the most stable polymorph in this dataset   0.8084 eV per atom

Cell and atoms, written as CIF:
```
data_IrPdNF2
_space_group_name_H-M_alt 'P 4/m m m'
_space_group_IT_number 123
_space_group_name_Hall '-P 4 2'
_cell_length_a 4.290
_cell_length_b 4.290
_cell_length_c 3.795
_cell_angle_alpha 90.00
_cell_angle_beta 90.00
_cell_angle_gamma 90.00
loop_
_atom_site_label
_atom_site_fract_x
_atom_site_fract_y
_atom_site_fract_z
_atom_site_occupancy
Ir1 0.000 0.000 0.000 1
Pd1 0.500 0.500 0.500 1
N1 0.500 0.500 0.000 1
F1 0.000 0.500 0.500 1
```

=====

(4)
An optimized crystal structure of Y8SiTe4P3, computed with PBE-GGA.

Properties
Calculated density   5.29 Mg/m³
Formation energy (no corrections)   -1470 meV per atom
Fermi-level density of states   15.5 states/eV/cell

Cell and atoms, written as CIF:
```
data_Y8SiTe4P3
_space_group_name_H-M_alt 'R -3 m'
_space_group_IT_number 166
_space_group_name_Hall '-R 3 2"'
_cell_length_a 8.3032
_cell_length_b 8.3032
_cell_length_c 21.1940
_cell_angle_alpha 90.00
_cell_angle_beta 90.00
_cell_angle_gamma 120.00
loop_
_atom_site_label
_atom_site_fract_x
_atom_site_fract_y
_atom_site_fract_z
_atom_site_occupancy
Y1 0.0000 0.0000 0.2369 1
Y2 0.9996 0.4998 0.2379 1
Si1 0.0000 0.0000 0.5000 1
Te1 0.0000 0.0000 0.0000 1
Te2 0.0000 0.5000 0.0000 1
P1 0.0000 0.5000 0.5000 1
```

=====

(5)
An optimized crystal structure of TaTl, computed with PBE-GGA.

Properties
Calculated density   15.25 Mg/m³
Energy of formation   0.7669 eV/atom
Fermi-level density of states   8.3 states/eV/cell
Energy above the most stable polymorph in this dataset   0.3076 eV per atom

Cell and atoms, written as CIF:
```
data_TaTl
_space_group_name_H-M_alt 'P 21 3'
_space_group_IT_number 198
_space_group_name_Hall 'P 2ac 2ab 3'
_cell_length_a 5.517
_cell_length_b 5.517
_cell_length_c 5.517
_cell_angle_alpha 90.00
_cell_angle_beta 90.00
_cell_angle_gamma 90.00
loop_
_atom_site_label
_atom_site_fract_x
_atom_site_fract_y
_atom_site_fract_z
_atom_site_occupancy
Ta1 0.105 0.395 0.605 1
Tl1 0.096 0.904 0.404 1
```

=====

(6)
An optimized crystal structure of Ca2P2Rh, computed with PBE-GGA.

Properties
Calculated density   3.51 Mg/m³
Energy of formation   -0.5350 eV/atom
Fermi-level density of states   28.8 states/eV/cell
Energy above the most stable polymorph in this dataset   0.3656 eV per atom

Cell and atoms, written as CIF:
```
data_Ca2P2Rh
_space_group_name_H-M_alt 'F d d d'
_space_group_IT_number 70
_cell_length_a 7.572
_cell_length_b 7.592
_cell_length_c 16.137
_cell_angle_alpha 90.00
_cell_angle_beta 90.00
_cell_angle_gamma 90.00
loop_
_space_group_symop_operation_xyz
'x,y,z'
'-x,-y,-z'
'-x+1/4,-y+1/4,z'
'x+1/4,y+1/4,-z'
'x,-y+1/4,-z+1/4'
'-x,y+1/4,z+1/4'
'-x+1/4,y,-z+1/4'
'x+1/4,-y,z+1/4'
'x,y+1/2,z+1/2'
'-x,-y+1/2,-z+1/2'
'-x+1/4,-y+3/4,z+1/2'
'x+1/4,y+3/4,-z+1/2'
'x,-y+3/4,-z+3/4'
'-x,y+3/4,z+3/4'
'-x+1/4,y+1/2,-z+3/4'
'x+1/4,-y+1/2,z+3/4'
'x+1/2,y,z+1/2'
'-x+1/2,-y,-z+1/2'
'-x+3/4,-y+1/4,z+1/2'
'x+3/4,y+1/4,-z+1/2'
'x+1/2,-y+1/4,-z+3/4'
'-x+1/2,y+1/4,z+3/4'
'-x+3/4,y,-z+3/4'
'x+3/4,-y,z+3/4'
'x+1/2,y+1/2,z'
'-x+1/2,-y+1/2,-z'
'-x+3/4,-y+3/4,z'
'x+3/4,y+3/4,-z'
'x+1/2,-y+3/4,-z+1/4'
'-x+1/2,y+3/4,z+1/4'
'-x+3/4,y+1/2,-z+1/4'
'x+3/4,-y+1/2,z+1/4'
loop_
_atom_site_label
_atom_site_fract_x
_atom_site_fract_y
_atom_site_fract_z
_atom_site_occupancy
Ca1 0.125 0.125 0.327 1
P1 0.000 0.000 0.500 1
Rh1 0.125 0.125 0.625 1
```

=====

(7)
An optimized crystal structure of Pr2DyEr6Sc3, computed with PBE-GGA.

Properties
Calculated density   7.31 Mg/m³
Energy of formation   0.0477 eV/atom
Fermi-level density of states   35.5 states/eV/cell

Cell and atoms, written as CIF:
```
data_Pr2DyEr6Sc3
_space_group_name_H-M_alt 'C 1 2/m 1'
_space_group_IT_number 12
_cell_length_a 6.059
_cell_length_b 10.493
_cell_length_c 11.484
_cell_angle_alpha 90.00
_cell_angle_beta 100.12
_cell_angle_gamma 90.00
loop_
_space_group_symop_operation_xyz
'x,y,z'
'-x,-y,-z'
'-x,y,-z'
'x,-y,z'
'x+1/2,y+1/2,z'
'-x+1/2,-y+1/2,-z'
'-x+1/2,y+1/2,-z'
'x+1/2,-y+1/2,z'
loop_
_atom_site_label
_atom_site_fract_x
_atom_site_fract_y
_atom_site_fract_z
_atom_site_occupancy
Pr1 0.000 0.167 0.000 1
Dy1 0.000 0.500 0.000 1
Er1 0.245 0.500 0.738 1
Er2 0.246 0.166 0.738 1
Sc1 0.000 0.000 0.500 1
Sc2 0.000 0.334 0.500 1
```

=====

(8)
An optimized crystal structure of KCo6As4, computed with PBE-GGA.

Properties
Calculated density   6.52 Mg/m³
Energy of formation   -0.2458 eV/atom
Fermi-level density of states   13.9 states/eV/cell

Cell and atoms, written as CIF:
```
data_KCo6As4
_space_group_name_H-M_alt 'I 4/m m m'
_space_group_IT_number 139
_space_group_name_Hall '-I 4 2'
_cell_length_a 3.786
_cell_length_b 3.786
_cell_length_c 24.604
_cell_angle_alpha 90.00
_cell_angle_beta 90.00
_cell_angle_gamma 90.00
loop_
_atom_site_label
_atom_site_fract_x
_atom_site_fract_y
_atom_site_fract_z
_atom_site_occupancy
K1 0.000 0.000 0.000 1
Co1 0.000 0.500 0.138 1
Co2 0.000 0.500 0.250 1
As1 0.000 0.000 0.195 1
As2 0.000 0.000 0.415 1
```

=====

(9)
An optimized crystal structure of Tb4AgBiS8, computed with PBE-GGA.

Properties
Calculated density   5.34 Mg/m³
Formation energy (no corrections)   -1524 meV per atom
Fermi-level density of states   0.0 states/eV/cell

Cell and atoms, written as CIF:
```
data_Tb4AgBiS8
_space_group_name_H-M_alt 'R 3 m'
_space_group_IT_number 160
_space_group_name_Hall 'R 3 -2"'
_cell_length_a 8.0777
_cell_length_b 8.0777
_cell_length_c 19.9698
_cell_angle_alpha 90.00
_cell_angle_beta 90.00
_cell_angle_gamma 120.00
loop_
_atom_site_label
_atom_site_fract_x
_atom_site_fract_y
_atom_site_fract_z
_atom_site_occupancy
Tb1 0.0000 0.0000 0.0000 1
Tb2 0.1709 0.3419 0.2072 1
Ag1 0.0000 0.0000 0.7443 1
Bi1 0.0000 0.0000 0.3833 1
S1 0.0000 0.0000 0.1329 1
S2 0.0000 0.0000 0.6149 1
S3 0.0146 0.5073 0.1290 1
S4 0.1752 0.3505 0.9526 1
```

=====

(10)
An optimized crystal structure of Na2Pr4Sb3O2, computed with PBE-GGA.

Properties
Calculated density   5.36 Mg/m³
Formation energy (no corrections)   -1487 meV per atom
Fermi-level density of states   3.5 states/eV/cell

Cell and atoms, written as CIF:
```
data_Na2Pr4Sb3O2
_space_group_name_H-M_alt 'I 4/m m m'
_space_group_IT_number 139
_space_group_name_Hall '-I 4 2'
_cell_length_a 4.946
_cell_length_b 4.946
_cell_length_c 25.516
_cell_angle_alpha 90.00
_cell_angle_beta 90.00
_cell_angle_gamma 90.00
loop_
_atom_site_label
_atom_site_fract_x
_atom_site_fract_y
_atom_site_fract_z
_atom_site_occupancy
Na1 0.000 0.000 0.202 1
Pr1 0.000 0.500 0.089 1
Sb1 0.000 0.000 0.328 1
Sb2 0.000 0.000 0.500 1
O1 0.000 0.000 0.093 1
```